Density functional theory data (PBE-GGA) for In2Ga2Ag7 after structural relaxation.

Properties
Crystal system   monoclinic
Energy relative to the elements   21 meV/atom

Geometry as POSCAR:
```
In2Ga2Ag7
1.0
7.5090 0.3112 0.4491
-0.5180 5.6914 -0.4674
-0.5180 -2.4363 5.1648
In Ga Ag
2 2 7
Direct
0.5000 0.3253 0.6747
0.5000 0.6747 0.3253
0.6637 0.0795 0.0795
0.3363 0.9205 0.9205
0.1737 0.9353 0.4324
0.8263 0.5676 0.0647
0.8263 0.0647 0.5676
0.1737 0.4324 0.9353
0.0000 0.0000 0.0000
0.8153 0.5455 0.5455
0.1847 0.4545 0.4545
```



Density functional theory data (PBE-GGA) for In6GaAg2 after structural relaxation.

Properties
Crystal system   monoclinic
Energy relative to the elements   34 meV/atom

Geometry as POSCAR:
```
In6GaAg2
1.0
5.0686 0.0373 1.8928
1.4813 9.1565 2.6401
-1.0008 1.7372 9.4332
In Ga Ag
12 2 4
Direct
0.4364 0.3325 0.4860
0.0636 0.5140 0.6675
0.5636 0.6675 0.5140
0.9364 0.4860 0.3325
0.9772 0.1457 0.6839
0.5228 0.3161 0.8543
0.0228 0.8543 0.3161
0.4772 0.6839 0.1457
0.9518 0.3011 0.0529
0.5482 0.9471 0.6989
0.0482 0.6989 0.9471
0.4518 0.0529 0.3011
0.2500 0.0291 0.9709
0.7500 0.9709 0.0291
0.3821 0.3889 0.1442
0.1179 0.8558 0.6111
0.6179 0.6111 0.8558
0.8821 0.1442 0.3889
```



Density functional theory data (PBE-GGA) for In5Ga2Ag after structural relaxation.

Properties
Crystal system   orthorhombic
Energy relative to the elements   35 meV/atom

Geometry as POSCAR:
```
In5Ga2Ag
1.0
3.2222 0.0000 0.0000
-1.6111 6.0722 0.0000
0.0000 0.0000 19.7163
In Ga Ag
10 4 2
Direct
0.9326 0.8651 0.8972
0.9326 0.8651 0.6028
0.3523 0.7047 0.4620
0.3523 0.7047 0.0380
0.4370 0.8741 0.2500
0.5630 0.1259 0.7500
0.6477 0.2953 0.5380
0.6477 0.2953 0.9620
0.0674 0.1349 0.1028
0.0674 0.1349 0.3972
0.7752 0.5505 0.3378
0.7752 0.5505 0.1622
0.2248 0.4495 0.6622
0.2248 0.4495 0.8378
0.8567 0.7134 0.7500
0.1433 0.2866 0.2500
```



Density functional theory data (PBE-GGA) for In3GaAg6 after structural relaxation.

Properties
Crystal system   orthorhombic
Energy relative to the elements   37 meV/atom

Geometry as POSCAR:
```
In3GaAg6
1.0
-3.6219 3.2263 -2.0258
-6.9718 -6.6081 1.9405
2.4021 6.5207 6.0899
In Ga Ag
6 2 12
Direct
0.4606 0.7330 0.7984
0.9606 0.9346 0.2016
0.0623 0.6036 0.2072
0.5623 0.3964 0.7928
0.9606 0.2670 0.2016
0.4606 0.0654 0.7984
0.1282 0.7811 0.5623
0.6282 0.2189 0.4377
0.0368 0.6041 0.8946
0.5368 0.7096 0.1054
0.3658 0.9737 0.4281
0.8658 0.5456 0.5719
0.4522 0.0571 0.1142
0.6161 0.7157 0.4313
0.1161 0.2843 0.5687
0.9522 0.9429 0.8858
0.3658 0.4544 0.4281
0.8658 0.0263 0.5719
0.0368 0.2904 0.8946
0.5368 0.3959 0.1054
```



Density functional theory data (PBE-GGA) for InGa4Ag15 after structural relaxation.

Properties
Crystal system   tetragonal
Energy relative to the elements   1 meV/atom

Geometry as POSCAR:
```
InGa4Ag15
1.0
-1.6952 -3.7234 0.5275
0.0778 -0.6132 -4.0784
19.0803 -8.4553 1.6352
In Ga Ag
1 4 15
Direct
0.0000 0.0000 0.0000
0.0000 0.0000 0.2034
0.0000 0.0000 0.4015
0.0000 0.0000 0.5985
0.0000 0.0000 0.7966
0.5000 0.5000 0.0000
0.5000 0.5000 0.2040
0.5000 0.5000 0.4011
0.5000 0.5000 0.5989
0.5000 0.5000 0.7960
0.5000 0.0000 0.1051
0.5000 0.0000 0.3025
0.5000 0.0000 0.5000
0.5000 0.0000 0.6975
0.5000 0.0000 0.8949
0.0000 0.5000 0.1051
0.0000 0.5000 0.3025
0.0000 0.5000 0.5000
0.0000 0.5000 0.6975
0.0000 0.5000 0.8949
```



Density functional theory data (PBE-GGA) for In2Ga2Ag7 after structural relaxation.

Properties
Crystal system   monoclinic
Energy relative to the elements   21 meV/atom

Geometry as POSCAR:
```
In2Ga2Ag7
1.0
4.7939 -0.1198 -1.6170
-2.4759 6.5331 0.0819
-0.3086 0.1835 6.9778
In Ga Ag
2 2 7
Direct
0.5000 0.1903 0.8097
0.5000 0.8097 0.1903
0.0199 0.2836 0.2836
0.9801 0.7164 0.7164
0.1760 0.9290 0.4157
0.8240 0.5843 0.0710
0.8240 0.0710 0.5843
0.1760 0.4157 0.9290
0.0000 0.0000 0.0000
0.6303 0.3993 0.3993
0.3697 0.6007 0.6007
```



Density functional theory data (PBE-GGA) for In4GaAg8 after structural relaxation.

Properties
Crystal system   orthorhombic
Energy relative to the elements   30 meV/atom

Geometry as POSCAR:
```
In4GaAg8
1.0
4.0443 0.0000 0.0000
0.0000 4.2854 0.0000
0.0000 0.0000 15.2829
In Ga Ag
4 1 8
Direct
0.0000 0.0000 0.0608
0.0000 0.5000 0.6155
0.5000 0.5000 0.4053
0.5000 0.0000 0.9011
0.0000 0.0000 0.3183
0.0000 0.0000 0.4870
0.0000 0.5000 0.9089
0.5000 0.5000 0.0539
0.5000 0.0000 0.6237
0.0000 0.5000 0.2034
0.0000 0.0000 0.7627
0.5000 0.0000 0.2000
0.5000 0.5000 0.7623
```



Density functional theory data (PBE-GGA) for In3Ga2Ag6 after structural relaxation.

Properties
Crystal system   triclinic
Energy relative to the elements   15 meV/atom

Geometry as POSCAR:
```
In3Ga2Ag6
1.0
3.8636 -1.5867 3.2212
-0.6775 7.5119 2.7266
4.5748 5.7549 15.3469
In Ga Ag
3 2 6
Direct
0.0000 0.0000 0.0000
0.6325 0.7388 0.3373
0.3674 0.2612 0.6627
0.0004 0.1413 0.3222
0.9996 0.8587 0.6778
0.9316 0.3925 0.8278
0.3202 0.8211 0.8924
0.0684 0.6075 0.1722
0.6798 0.1789 0.1076
0.2281 0.9229 0.4335
0.7719 0.0771 0.5665
```



Density functional theory data (PBE-GGA) for InGa4Ag4 after structural relaxation.

Properties
Crystal system   tetragonal
Energy relative to the elements   18 meV/atom

Geometry as POSCAR:
```
InGa4Ag4
1.0
6.1560 0.0000 0.0000
0.0000 6.1560 0.0000
0.0000 0.0000 9.2091
In Ga Ag
2 8 8
Direct
0.0000 0.0000 0.0000
0.5000 0.5000 0.5000
0.2176 0.5000 0.9336
0.7824 0.5000 0.9336
0.5000 0.7824 0.0664
0.5000 0.2176 0.0664
0.0000 0.7176 0.4336
0.0000 0.2824 0.4336
0.2824 0.0000 0.5664
0.7176 0.0000 0.5664
0.5000 0.7548 0.7728
0.5000 0.2452 0.7728
0.7548 0.5000 0.2272
0.2452 0.5000 0.2272
0.2548 0.0000 0.2728
0.7452 0.0000 0.2728
0.0000 0.2548 0.7272
0.0000 0.7452 0.7272
```



Density functional theory data (PBE-GGA) for InGa2Ag7 after structural relaxation.

Properties
Crystal system   orthorhombic
Energy relative to the elements   191 meV/atom

Geometry as POSCAR:
```
InGa2Ag7
1.0
4.5819 0.0000 0.0000
0.0000 7.5662 -0.2347
0.0000 -3.5485 6.6866
In Ga Ag
1 2 7
Direct
0.0000 0.0000 0.0000
0.5000 0.6963 0.3037
0.5000 0.3037 0.6963
0.0000 0.7857 0.2143
0.0000 0.2143 0.7857
0.5000 0.0700 0.2997
0.5000 0.9300 0.7004
0.5000 0.2996 0.0700
0.5000 0.7004 0.9300
0.5000 0.5000 0.5000
```



Density functional theory data (PBE-GGA) for In2Ga2Ag after structural relaxation.

Properties
Crystal system   orthorhombic
Energy relative to the elements   46 meV/atom

Geometry as POSCAR:
```
In2Ga2Ag
1.0
-0.7450 4.3333 -3.6708
-5.3286 -2.9710 -2.4258
-0.4032 2.1702 7.1125
In Ga Ag
4 4 2
Direct
0.1077 0.9566 0.2153
0.8923 0.0434 0.7847
0.3923 0.7413 0.7847
0.6077 0.2587 0.2153
0.6594 0.8747 0.3188
0.3406 0.1253 0.6812
0.8406 0.5560 0.6812
0.1594 0.4440 0.3188
0.2500 0.5000 0.0000
0.7500 0.5000 0.0000
```



Density functional theory data (PBE-GGA) for In2Ga6Ag after structural relaxation.

Properties
Crystal system   monoclinic
Energy relative to the elements   101 meV/atom

Geometry as POSCAR:
```
In2Ga6Ag
1.0
3.7146 0.0021 0.0049
0.0135 6.7104 3.8534
0.0122 0.0089 7.7381
In Ga Ag
2 6 1
Direct
0.0000 0.3333 0.3333
0.0000 0.6667 0.6667
0.4978 0.6706 0.9999
0.5022 0.0001 0.3294
0.5022 0.3294 0.0001
0.5000 0.6704 0.3296
0.4978 0.9999 0.6706
0.5000 0.3296 0.6704
0.0000 0.0000 0.0000
```



Density functional theory data (PBE-GGA) for In2Ga2Ag after structural relaxation.

Properties
Crystal system   tetragonal
Energy relative to the elements   108 meV/atom

Geometry as POSCAR:
```
In2Ga2Ag
1.0
3.6663 0.0000 0.0000
0.0000 3.6663 0.0000
1.8331 1.8331 8.5196
Ga Ag In
2 1 2
Direct
0.7500 0.2500 0.5000
0.2500 0.7500 0.5000
0.0000 0.0000 0.0000
0.4015 0.4015 0.1971
0.5985 0.5985 0.8029
```



Density functional theory data (PBE-GGA) for In3Ga4Ag2 after structural relaxation.

Properties
Crystal system   triclinic
Energy relative to the elements   50 meV/atom

Geometry as POSCAR:
```
In3Ga4Ag2
1.0
-3.5281 -2.7266 -1.2317
-1.8311 -3.0724 4.3304
-7.3735 3.4085 3.5401
In Ga Ag
3 4 2
Direct
0.6080 0.1189 0.6181
0.0000 0.0000 0.0000
0.3920 0.8811 0.3819
0.3305 0.3212 0.0504
0.9042 0.4553 0.6697
0.0958 0.5447 0.3303
0.6695 0.6788 0.9496
0.7418 0.3085 0.2610
0.2582 0.6915 0.7390
```



Density functional theory data (PBE-GGA) for InGaAg2 after structural relaxation.

Properties
Crystal system   tetragonal
Energy relative to the elements   42 meV/atom

Geometry as POSCAR:
```
InGaAg2
1.0
-2.5769 -0.4006 1.7262
-1.7004 -0.2990 -2.6077
1.2786 -7.9104 0.0732
Ga Ag In
1 2 1
Direct
0.5000 0.5000 0.0000
0.0000 0.0000 0.7720
0.0000 0.0000 0.2280
0.5000 0.5000 0.5000
```



Density functional theory data (PBE-GGA) for In2Ga2Ag after structural relaxation.

Properties
Crystal system   tetragonal
Energy relative to the elements   139 meV/atom

Geometry as POSCAR:
```
In2Ga2Ag
1.0
7.7485 0.0000 0.0000
0.0000 7.7485 0.0000
0.0000 0.0000 3.8871
Ga Ag In
4 2 4
Direct
0.1308 0.6308 0.5000
0.6308 0.8692 0.5000
0.8692 0.3692 0.5000
0.3692 0.1308 0.5000
0.0000 0.0000 0.0000
0.5000 0.5000 0.0000
0.3297 0.8297 0.0000
0.8297 0.6703 0.0000
0.6703 0.1703 0.0000
0.1703 0.3297 0.0000
```



Density functional theory data (PBE-GGA) for In2Ga9Ag after structural relaxation.

Properties
Crystal system   tetragonal
Energy relative to the elements   49 meV/atom

Geometry as POSCAR:
```
In2Ga9Ag
1.0
4.3872 0.0000 0.0000
0.0000 4.3872 0.0000
0.0000 0.0000 12.5464
In Ga Ag
2 9 1
Direct
0.0000 0.0000 0.3293
0.0000 0.0000 0.6707
0.5000 0.5000 0.0000
0.5000 0.5000 0.3203
0.5000 0.5000 0.6797
0.5000 0.0000 0.1541
0.5000 0.0000 0.5000
0.5000 0.0000 0.8459
0.0000 0.5000 0.1541
0.0000 0.5000 0.5000
0.0000 0.5000 0.8459
0.0000 0.0000 0.0000
```



Density functional theory data (PBE-GGA) for In3GaAg after structural relaxation.

Properties
Crystal system   monoclinic
Energy relative to the elements   33 meV/atom

Geometry as POSCAR:
```
In3GaAg
1.0
5.9639 0.0024 0.0049
0.0071 8.3032 4.7714
0.0065 -0.0040 9.5765
In Ga Ag
12 4 4
Direct
0.4554 0.7604 0.9436
0.9554 0.9436 0.7604
0.0446 0.0564 0.2396
0.5446 0.2396 0.0564
0.9539 0.7405 0.5548
0.4539 0.5548 0.7405
0.5461 0.4452 0.2595
0.0461 0.2595 0.4452
0.9994 0.3175 0.8175
0.4994 0.8175 0.3175
0.5006 0.1825 0.6825
0.0006 0.6825 0.1825
0.8504 0.5974 0.9013
0.3504 0.9013 0.5974
0.6496 0.0987 0.4026
0.1496 0.4026 0.0987
0.2500 0.5045 0.4955
0.2500 0.0045 0.9955
0.7500 0.4955 0.5045
0.7500 0.9955 0.0045
```



Density functional theory data (PBE-GGA) for InGa4Ag after structural relaxation.

Properties
Crystal system   cubic
Energy relative to the elements   108 meV/atom

Geometry as POSCAR:
```
InGa4Ag
1.0
-2.4499 -4.9540 0.8130
2.8877 -4.2034 2.2799
-1.1836 -1.7136 5.1835
Ga Ag In
4 1 1
Direct
0.6253 0.6253 0.1240
0.6253 0.1240 0.6253
0.6253 0.6253 0.6253
0.1240 0.6253 0.6253
0.0000 0.0000 0.0000
0.2500 0.2500 0.2500
```



Density functional theory data (PBE-GGA) for In4Ga5Ag after structural relaxation.

Properties
Crystal system   triclinic
Energy relative to the elements   33 meV/atom

Geometry as POSCAR:
```
In4Ga5Ag
1.0
-1.3403 3.0657 4.6303
-6.7452 0.1595 1.2572
0.1222 -3.5952 5.7279
In Ga Ag
4 5 1
Direct
0.8487 0.6361 0.7433
0.6174 0.2427 0.6129
0.4864 0.7575 0.3892
0.2535 0.3621 0.2572
0.2791 0.6403 0.8804
0.1307 0.1545 0.6674
0.9733 0.8476 0.3319
0.8197 0.3587 0.1205
0.3051 0.0032 0.9952
0.7758 0.9973 0.0020
```



Density functional theory data (PBE-GGA) for In2GaAg after structural relaxation.

Properties
Crystal system   orthorhombic
Energy relative to the elements   30 meV/atom

Geometry as POSCAR:
```
In2GaAg
1.0
3.4509 0.0000 -0.9863
0.0000 4.6418 0.0000
-0.2334 0.0000 5.7140
In Ga Ag
2 1 1
Direct
0.7903 0.5000 0.5806
0.1020 0.0000 0.2041
0.3707 0.0000 0.7414
0.5215 0.5000 0.0429
```